5
Lattice="5.7193 0.0000 0.0000 0.0000 5.7193 0.0000 0.0000 0.0000 4.1395" Properties=species:S:1:pos:R:3 comment="Cd2SnWF PBE+U optimized geometry" dft_energy_ev_per_atom=-2.97 pbc="T T T"
Cd 0.0000 2.8597 0.0000
Cd 2.8597 0.0000 0.0000
Sn 0.0000 0.0000 2.0697
W 2.8597 2.8597 0.0000
F 2.8597 2.8597 2.0697